# 1
Density functional theory data (PBE) for crystalline Ac2ZnSi at its relaxed geometry.

Computed properties:
Total energy: -33.24 eV/cell
DOS at the Fermi energy: 3.38 states/eV/f.u.

a b c (Å): 6.375 4.288 9.167
angles (deg): 90.00 109.13 90.00
Space group P2_1/m (No. 11)
Unique sites:
Ac 0.209 0.250 0.419 [2 per cell]
Ac 0.286 0.750 0.062 [2 per cell]
Zn 0.173 0.250 0.774 [2 per cell]
Si 0.358 0.750 0.709 [2 per cell]

***

# 2
Density functional theory data (PBE) for crystalline Na3NbBr2F6 at its relaxed geometry.

Computed properties:
Total energy: -117.06 eV/cell
DOS at the Fermi energy: 0.00 states/eV/f.u.

a b c (Å): 14.682 6.983 5.013
angles (deg): 90.00 91.39 90.00
Space group C2/m (No. 12)
Unique sites:
Na 0.000 0.000 0.000 [2 per cell]
Na 0.250 0.250 0.500 [4 per cell]
Nb 0.000 0.500 0.500 [2 per cell]
Br 0.191 0.000 0.088 [4 per cell]
F 0.028 0.298 0.752 [8 per cell]
F 0.129 0.500 0.405 [4 per cell]

***

# 3
Density functional theory data (PBE) for crystalline Ce3In2Cu4 at its relaxed geometry.

Computed properties:
Total energy: -83.26 eV/cell
DOS at the Fermi energy: 13.30 states/eV/f.u.
Energy of formation: -0.22 eV/atom

a b c (Å): 8.303 4.804 9.049
angles (deg): 90.00 90.15 90.00
Space group C2/m (No. 12)
Unique sites:
Ce 0.000 0.000 0.000 [2 per cell]
Ce 0.166 0.500 0.582 [4 per cell]
In 0.167 0.500 0.215 [4 per cell]
Cu 0.000 0.000 0.350 [4 per cell]
Cu 0.166 0.500 0.906 [4 per cell]

***

# 4
Density functional theory data (PBE) for crystalline CsMoCl6 at its relaxed geometry.

Computed properties:
Total energy: -95.69 eV/cell
DOS at the Fermi energy: 6.16 states/eV/f.u.

a b c (Å): 6.9692 6.9692 19.0788
angles (deg): 90.00 90.00 120.00
Space group R-3m (No. 166, hexagonal axes)
Unique sites:
Cs 0.0000 0.0000 0.0000 [3 per cell]
Mo 0.0000 0.0000 0.5000 [3 per cell]
Cl 0.0152 0.5076 0.0957 [18 per cell]

***

# 5
Density functional theory data (PBE) for crystalline AlTl at its relaxed geometry.

Computed properties:
Total energy: -34.28 eV/cell
DOS at the Fermi energy: 0.94 states/eV/f.u.
Energy of formation: 0.20 eV/atom

a b c (Å): 3.2420 3.2420 32.1007
angles (deg): 90.00 90.00 120.00
Space group R-3m (No. 166, hexagonal axes)
Unique sites:
Al 0.0000 0.0000 0.1323 [6 per cell]
Tl 0.0000 0.0000 0.3834 [6 per cell]

***

# 6
Density functional theory data (PBE) for crystalline OsS2BrCl at its relaxed geometry.

Computed properties:
Total energy: -21.05 eV/cell
DOS at the Fermi energy: 4.65 states/eV/f.u.

a b c (Å): 4.577 4.577 4.937
angles (deg): 90.00 90.00 90.00
Space group P4/mmm (No. 123)
Unique sites:
Os 0.000 0.000 0.000 [1 per cell]
S 0.000 0.500 0.000 [2 per cell]
Br 0.500 0.500 0.500 [1 per cell]
Cl 0.000 0.000 0.500 [1 per cell]

***

# 7
Density functional theory data (PBE) for crystalline PmPaSi2 at its relaxed geometry.

Computed properties:
Total energy: -104.71 eV/cell
DOS at the Fermi energy: 6.91 states/eV/f.u.

a b c (Å): 7.083 7.083 7.083
angles (deg): 90.00 90.00 90.00
Space group Fm-3m (No. 225)
Unique sites:
Pm 0.000 0.000 0.000 [4 per cell]
Pa 0.000 0.000 0.500 [4 per cell]
Si 0.250 0.250 0.250 [8 per cell]

***

# 8
Density functional theory data (PBE) for crystalline InMoOs at its relaxed geometry.

Computed properties:
Total energy: -93.63 eV/cell
DOS at the Fermi energy: 3.17 states/eV/f.u.
Energy of formation: 0.46 eV/atom

a b c (Å): 6.165 6.165 6.165
angles (deg): 90.00 90.00 90.00
Space group F-43m (No. 216)
Unique sites:
In 0.000 0.000 0.000 [4 per cell]
Mo 0.000 0.000 0.500 [4 per cell]
Os 0.250 0.250 0.250 [4 per cell]

***

# 9
Density functional theory data (PBE) for crystalline BaLiSc3 at its relaxed geometry.

Computed properties:
Total energy: -17.02 eV/cell
DOS at the Fermi energy: 2.38 states/eV/f.u.
Energy of formation: 1.16 eV/atom

a b c (Å): 5.456 5.456 5.456
angles (deg): 90.00 90.00 90.00
Space group Pm-3m (No. 221)
Unique sites:
Ba 0.000 0.000 0.000 [1 per cell]
Li 0.500 0.500 0.500 [1 per cell]
Sc 0.000 0.000 0.500 [3 per cell]

***

# 10
Density functional theory data (PBE) for crystalline BaWN3 at its relaxed geometry.

Computed properties:
Total energy: -168.29 eV/cell
DOS at the Fermi energy: 1.00 states/eV/f.u.

a b c (Å): 5.692 11.463 4.747
angles (deg): 90.00 90.00 90.00
Space group Ima2 (No. 46)
Unique sites:
Ba 0.250 0.118 0.000 [4 per cell]
W 0.250 0.614 0.999 [4 per cell]
N 0.000 0.000 0.561 [4 per cell]
N 0.250 0.619 0.595 [4 per cell]
N 0.250 0.703 0.390 [4 per cell]

***

# 11
Density functional theory data (PBE) for crystalline LaPmGa at its relaxed geometry.

Computed properties:
Total energy: -26.85 eV/cell
DOS at the Fermi energy: 3.51 states/eV/f.u.
Energy of formation: -0.24 eV/atom

a b c (Å): 4.946 4.946 7.572
angles (deg): 90.00 90.00 90.00
Space group P4/nmm (No. 129, origin choice 2)
Unique sites:
La 0.250 0.250 0.247 [2 per cell]
Pm 0.250 0.250 0.763 [2 per cell]
Ga 0.250 0.750 0.500 [2 per cell]

***

# 12
Density functional theory data (PBE) for crystalline NdSm3Al8 at its relaxed geometry.

Computed properties:
Total energy: -164.88 eV/cell
DOS at the Fermi energy: 10.38 states/eV/f.u.
Energy of formation: -0.51 eV/atom

a b c (Å): 5.6459 5.6459 27.7453
angles (deg): 90.00 90.00 120.00
Space group R3m (No. 160, hexagonal axes)
Unique sites:
Nd 0.0000 0.0000 0.0000 [3 per cell]
Sm 0.0000 0.0000 0.1249 [3 per cell]
Sm 0.0000 0.0000 0.5003 [3 per cell]
Sm 0.0000 0.0000 0.6249 [3 per cell]
Al 0.0000 0.0000 0.3124 [3 per cell]
Al 0.0000 0.0000 0.8126 [3 per cell]
Al 0.0002 0.5001 0.0629 [9 per cell]
Al 0.9997 0.4998 0.5622 [9 per cell]

***

# 13
Density functional theory data (PBE) for crystalline Pa5Co4 at its relaxed geometry.

Computed properties:
Total energy: -157.53 eV/cell
DOS at the Fermi energy: 13.21 states/eV/f.u.
Energy of formation: -0.32 eV/atom

a b c (Å): 11.366 3.482 9.370
angles (deg): 90.00 111.83 90.00
Space group C2/m (No. 12)
Unique sites:
Pa 0.000 0.000 0.000 [2 per cell]
Pa 0.120 0.000 0.402 [4 per cell]
Pa 0.233 0.000 0.822 [4 per cell]
Co 0.029 0.500 0.825 [4 per cell]
Co 0.108 0.500 0.607 [4 per cell]

***

# 14
Density functional theory data (PBE) for crystalline Nd5Ho6Pu at its relaxed geometry.

Computed properties:
Total energy: -130.23 eV/cell
DOS at the Fermi energy: 23.06 states/eV/f.u.
Energy of formation: 0.04 eV/atom

a b c (Å): 6.214 10.769 11.749
angles (deg): 90.00 100.17 90.00
Space group C2/m (No. 12)
Unique sites:
Nd 0.000 0.000 0.000 [2 per cell]
Nd 0.000 0.167 0.500 [4 per cell]
Nd 0.000 0.333 0.000 [4 per cell]
Ho 0.246 0.500 0.253 [4 per cell]
Ho 0.247 0.336 0.747 [8 per cell]
Pu 0.000 0.500 0.500 [2 per cell]

***

# 15
Density functional theory data (PBE) for crystalline K2NaSrCl5 at its relaxed geometry.

Computed properties:
Total energy: -132.30 eV/cell
DOS at the Fermi energy: 0.00 states/eV/f.u.

a b c (Å): 4.403 18.091 14.179
angles (deg): 90.00 90.00 90.00
Space group Cmc2_1 (No. 36)
Unique sites:
K 0.000 0.086 0.000 [4 per cell]
K 0.000 0.130 0.634 [4 per cell]
Na 0.000 0.462 0.788 [4 per cell]
Sr 0.000 0.225 0.360 [4 per cell]
Cl 0.000 0.068 0.390 [4 per cell]
Cl 0.000 0.265 0.998 [4 per cell]
Cl 0.000 0.298 0.729 [4 per cell]
Cl 0.000 0.382 0.332 [4 per cell]
Cl 0.000 0.496 0.108 [4 per cell]

***

# 16
Density functional theory data (PBE) for crystalline KSc2Be at its relaxed geometry.

Computed properties:
Total energy: -47.28 eV/cell
DOS at the Fermi energy: 5.97 states/eV/f.u.
Energy of formation: 0.43 eV/atom

a b c (Å): 3.5152 3.5152 31.2272
angles (deg): 90.00 90.00 120.00
Space group R-3m (No. 166, hexagonal axes)
Unique sites:
K 0.0000 0.0000 0.0000 [3 per cell]
Sc 0.0000 0.0000 0.2182 [6 per cell]
Be 0.0000 0.0000 0.5000 [3 per cell]

***

# 17
Density functional theory data (PBE) for crystalline HgAs2 at its relaxed geometry.

Computed properties:
Total energy: -37.99 eV/cell
DOS at the Fermi energy: 0.28 states/eV/f.u.
Energy of formation: 0.03 eV/atom

a b c (Å): 8.162 3.675 10.584
angles (deg): 90.00 103.86 90.00
Space group C2/m (No. 12)
Unique sites:
Hg 0.146 0.000 0.099 [4 per cell]
As 0.062 0.500 0.720 [4 per cell]
As 0.140 0.000 0.585 [4 per cell]

***

# 18
Density functional theory data (PBE) for crystalline PmGa4Cu6 at its relaxed geometry.

Computed properties:
Total energy: -44.19 eV/cell
DOS at the Fermi energy: 3.42 states/eV/f.u.
Energy of formation: -0.25 eV/atom

a b c (Å): 6.9248 6.9248 4.0744
angles (deg): 90.00 90.00 120.00
Space group P-6m2 (No. 187)
Unique sites:
Pm 0.0000 0.0000 0.0000 [1 per cell]
Ga 0.3333 0.6667 0.0000 [1 per cell]
Ga 0.3932 0.1966 0.5000 [3 per cell]
Cu 0.2099 0.4199 0.5000 [3 per cell]
Cu 0.5402 0.0803 0.0000 [3 per cell]

***

# 19
Density functional theory data (PBE) for crystalline Sr2ZrRhSe at its relaxed geometry.

Computed properties:
Total energy: -19.38 eV/cell
DOS at the Fermi energy: 9.93 states/eV/f.u.

a b c (Å): 6.228 6.228 4.929
angles (deg): 90.00 90.00 90.00
Space group P4/mmm (No. 123)
Unique sites:
Sr 0.000 0.500 0.000 [2 per cell]
Zr 0.000 0.000 0.000 [1 per cell]
Rh 0.500 0.500 0.500 [1 per cell]
Se 0.000 0.000 0.500 [1 per cell]

***

# 20
Density functional theory data (PBE) for crystalline CaMgGa2Re at its relaxed geometry.

Computed properties:
Total energy: -11.72 eV/cell
DOS at the Fermi energy: 14.79 states/eV/f.u.
Energy of formation: 2.07 eV/atom

a b c (Å): 5.012 5.012 5.194
angles (deg): 90.00 90.00 90.00
Space group P4/mmm (No. 123)
Unique sites:
Ca 0.000 0.000 0.000 [1 per cell]
Mg 0.000 0.000 0.500 [1 per cell]
Ga 0.000 0.500 0.000 [2 per cell]
Re 0.500 0.500 0.500 [1 per cell]

***

# 21
Density functional theory data (PBE) for crystalline RbZn2B at its relaxed geometry.

Computed properties:
Total energy: -37.14 eV/cell
DOS at the Fermi energy: 0.00 states/eV/f.u.
Energy of formation: 0.23 eV/atom

a b c (Å): 6.483 6.483 9.692
angles (deg): 90.00 90.00 90.00
Space group I4_1/amd (No. 141, origin choice 2)
Unique sites:
Rb 0.000 0.250 0.375 [4 per cell]
Zn 0.000 0.000 0.000 [8 per cell]
B 0.000 0.250 0.875 [4 per cell]

***

# 22
Density functional theory data (PBE) for crystalline NaCa3Ag2 at its relaxed geometry.

Computed properties:
Total energy: -14.23 eV/cell
DOS at the Fermi energy: 4.56 states/eV/f.u.
Energy of formation: -0.20 eV/atom

a b c (Å): 3.718 3.718 13.117
angles (deg): 90.00 90.00 90.00
Space group P4/mmm (No. 123)
Unique sites:
Na 0.000 0.000 0.000 [1 per cell]
Ca 0.500 0.500 0.219 [2 per cell]
Ca 0.500 0.500 0.500 [1 per cell]
Ag 0.000 0.000 0.356 [2 per cell]

***

# 23
Density functional theory data (PBE) for crystalline TlVS2N at its relaxed geometry.

Computed properties:
Total energy: -20.79 eV/cell
DOS at the Fermi energy: 9.10 states/eV/f.u.

a b c (Å): 5.159 5.159 4.067
angles (deg): 90.00 90.00 90.00
Space group P4/mmm (No. 123)
Unique sites:
Tl 0.000 0.000 0.000 [1 per cell]
V 0.500 0.500 0.500 [1 per cell]
S 0.000 0.500 0.000 [2 per cell]
N 0.000 0.000 0.500 [1 per cell]

***

# 24
Density functional theory data (PBE) for crystalline Sr3TmZn4 at its relaxed geometry.

Computed properties:
Total energy: -16.29 eV/cell
DOS at the Fermi energy: 5.23 states/eV/f.u.
Energy of formation: -0.21 eV/atom

a b c (Å): 3.769 3.769 15.417
angles (deg): 90.00 90.00 90.00
Space group P4/mmm (No. 123)
Unique sites:
Sr 0.000 0.000 0.000 [1 per cell]
Sr 0.000 0.000 0.263 [2 per cell]
Tm 0.000 0.000 0.500 [1 per cell]
Zn 0.500 0.500 0.131 [2 per cell]
Zn 0.500 0.500 0.403 [2 per cell]

***

# 25
Density functional theory data (PBE) for crystalline Mn2Ag2Pb at its relaxed geometry.

Computed properties:
Total energy: -52.05 eV/cell
DOS at the Fermi energy: 3.28 states/eV/f.u.
Energy of formation: 0.34 eV/atom

a b c (Å): 7.800 7.800 3.184
angles (deg): 90.00 90.00 90.00
Space group P4/mbm (No. 127)
Unique sites:
Mn 0.164 0.336 0.000 [4 per cell]
Ag 0.129 0.629 0.500 [4 per cell]
Pb 0.000 0.000 0.500 [2 per cell]